Compound: Zn3CuNi4
Source: Alexandria
Functional: PBE
Structure: optimized geometry

Cell: 7.051 7.051 7.051 Å, 33.50 33.50 33.50°
Positions (direct):
Zn  0.000  0.000  0.000
Zn  0.248  0.248  0.248
Zn  0.752  0.752  0.752
Cu  0.500  0.500  0.500
Ni  0.125  0.125  0.125
Ni  0.375  0.375  0.375
Ni  0.625  0.625  0.625
Ni  0.875  0.875  0.875

energy of formation from the pure elements: -0.176 eV per atom
V: 11.89 A^3/atom
magnetization: 0.00 μB per cell
crystal system: trigonal
space group: R-3m

Compound: LiTa2Pt
Source: Alexandria
Functional: PBE
Structure: optimized geometry

Cell: 3.903 3.903 8.507 Å, 90.00 90.00 90.00°
Positions (direct):
Li  0.000  0.000  0.000
Li  0.500  0.500  0.500
Ta  0.000  0.000  0.500
Ta  0.000  0.500  0.250
Ta  0.500  0.000  0.750
Ta  0.500  0.500  0.000
Pt  0.000  0.500  0.750
Pt  0.500  0.000  0.250

energy of formation from the pure elements: -0.029 eV per atom
V: 16.20 A^3/atom
magnetization: 0.00 μB per cell
crystal system: tetragonal
space group: I-4m2

Compound: MgSc3Nb
Source: Alexandria
Functional: PBE
Structure: optimized geometry

Cell: 5.044 5.044 5.044 Å, 90.00 90.00 90.00°
Positions (direct):
Mg  0.000  0.000  0.000
Sc  0.000  0.000  0.500
Sc  0.000  0.500  0.000
Sc  0.500  0.000  0.000
Nb  0.500  0.500  0.500

energy of formation from the pure elements: 1.180 eV per atom
V: 25.67 A^3/atom
magnetization: 0.00 μB per cell
crystal system: cubic
space group: Pm-3m

Compound: KHf3Os
Source: Alexandria
Functional: PBE
Structure: optimized geometry

Cell: 4.677 4.677 4.677 Å, 90.00 90.00 90.00°
Positions (direct):
K  0.000  0.000  0.000
Hf  0.000  0.000  0.500
Hf  0.000  0.500  0.000
Hf  0.500  0.000  0.000
Os  0.500  0.500  0.500

energy of formation from the pure elements: 2.422 eV per atom
V: 20.46 A^3/atom
magnetization: 0.00 μB per cell
crystal system: cubic
space group: Pm-3m

Compound: NdDy8Y6
Source: Alexandria
Functional: PBE
Structure: optimized geometry

Cell: 8.636 8.636 8.636 Å, 63.27 63.27 63.27°
Positions (direct):
Nd  0.000  0.000  0.000
Dy  0.111  0.719  0.746
Dy  0.254  0.889  0.281
Dy  0.281  0.254  0.889
Dy  0.424  0.424  0.424
Dy  0.576  0.576  0.576
Dy  0.719  0.746  0.111
Dy  0.746  0.111  0.719
Dy  0.889  0.281  0.254
Y  0.106  0.538  0.235
Y  0.235  0.106  0.538
Y  0.462  0.765  0.894
Y  0.538  0.235  0.106
Y  0.765  0.894  0.462
Y  0.894  0.462  0.765

energy of formation from the pure elements: 0.125 eV per atom
V: 32.56 A^3/atom
magnetization: 0.00 μB per cell
crystal system: trigonal
space group: R-3

Compound: HfZr6Sc3
Source: Alexandria
Functional: PBE
Structure: optimized geometry

Cell: 12.796 3.189 12.826 Å, 90.00 113.41 90.00°
Positions (direct):
Hf  0.012  0.250  0.404
Hf  0.988  0.750  0.596
Zr  0.058  0.750  0.218
Zr  0.172  0.750  0.844
Zr  0.219  0.250  0.657
Zr  0.244  0.750  0.461
Zr  0.297  0.250  0.279
Zr  0.354  0.750  0.102
Zr  0.646  0.250  0.898
Zr  0.703  0.750  0.721
Zr  0.756  0.250  0.539
Zr  0.781  0.750  0.343
Zr  0.828  0.250  0.156
Zr  0.942  0.250  0.782
Sc  0.122  0.250  0.034
Sc  0.423  0.750  0.864
Sc  0.470  0.250  0.632
Sc  0.530  0.750  0.368
Sc  0.577  0.250  0.136
Sc  0.878  0.750  0.966

energy of formation from the pure elements: 0.119 eV per atom
V: 24.02 A^3/atom
magnetization: 0.00 μB per cell
crystal system: monoclinic
space group: P2_1/m

Compound: Cu2HgBr
Source: Alexandria
Functional: PBE
Structure: optimized geometry

Cell: 3.499 4.313 6.032 Å, 90.00 90.00 90.00°
Positions (direct):
Cu  0.000  0.000  0.000
Cu  0.500  0.000  0.300
Hg  0.000  0.500  0.254
Br  0.500  0.000  0.714

V: 22.75 A^3/atom
magnetization: 0.00 μB per cell
crystal system: orthorhombic
space group: Pmm2
energy relative to the elements, uncorrected: -0.0020 eV/atom

Compound: In5Ag3Sn12
Source: Alexandria
Functional: PBE
Structure: optimized geometry

Cell: 14.768 14.768 14.768 Å, 109.47 109.47 109.47°
Positions (direct):
In  0.000  0.000  0.000
In  0.000  0.000  0.500
In  0.000  0.500  0.000
In  0.000  0.500  0.500
In  0.125  0.750  0.875
In  0.125  0.875  0.250
In  0.250  0.125  0.875
In  0.250  0.625  0.375
In  0.375  0.250  0.625
In  0.375  0.625  0.750
In  0.500  0.000  0.000
In  0.500  0.000  0.500
In  0.500  0.500  0.000
In  0.500  0.500  0.500
In  0.625  0.375  0.250
In  0.625  0.750  0.375
In  0.750  0.375  0.625
In  0.750  0.875  0.125
In  0.875  0.125  0.750
In  0.875  0.250  0.125
Ag  0.125  0.250  0.375
Ag  0.125  0.375  0.750
Ag  0.250  0.375  0.125
Ag  0.250  0.875  0.625
Ag  0.375  0.125  0.250
Ag  0.375  0.750  0.125
Ag  0.625  0.250  0.875
Ag  0.625  0.875  0.750
Ag  0.750  0.125  0.375
Ag  0.750  0.625  0.875
Ag  0.875  0.625  0.250
Ag  0.875  0.750  0.625
Sn  0.062  0.633  0.395
Sn  0.062  0.929  0.667
Sn  0.071  0.238  0.133
Sn  0.071  0.333  0.938
Sn  0.105  0.738  0.667
Sn  0.105  0.867  0.438
Sn  0.133  0.071  0.238
Sn  0.133  0.562  0.895
Sn  0.167  0.238  0.605
Sn  0.167  0.429  0.562
Sn  0.238  0.133  0.071
Sn  0.238  0.605  0.167
Sn  0.262  0.333  0.895
Sn  0.262  0.429  0.367
Sn  0.333  0.895  0.262
Sn  0.333  0.938  0.071
Sn  0.367  0.262  0.429
Sn  0.367  0.605  0.938
Sn  0.395  0.062  0.633
Sn  0.395  0.833  0.762
Sn  0.429  0.367  0.262
Sn  0.429  0.562  0.167
Sn  0.438  0.105  0.867
Sn  0.438  0.833  0.571
Sn  0.562  0.167  0.429
Sn  0.562  0.895  0.133
Sn  0.571  0.438  0.833
Sn  0.571  0.633  0.738
Sn  0.605  0.167  0.238
Sn  0.605  0.938  0.367
Sn  0.633  0.395  0.062
Sn  0.633  0.738  0.571
Sn  0.667  0.062  0.929
Sn  0.667  0.105  0.738
Sn  0.738  0.571  0.633
Sn  0.738  0.667  0.105
Sn  0.762  0.395  0.833
Sn  0.762  0.867  0.929
Sn  0.833  0.571  0.438
Sn  0.833  0.762  0.395
Sn  0.867  0.438  0.105
Sn  0.867  0.929  0.762
Sn  0.895  0.133  0.562
Sn  0.895  0.262  0.333
Sn  0.929  0.667  0.062
Sn  0.929  0.762  0.867
Sn  0.938  0.071  0.333
Sn  0.938  0.367  0.605

energy of formation from the pure elements: 0.161 eV per atom
V: 30.99 A^3/atom
magnetization: 0.00 μB per cell
crystal system: cubic
space group: Ia-3d

Compound: Ca4P2I5
Source: Alexandria
Functional: PBE
Structure: optimized geometry

Cell: 11.197 11.197 11.197 Å, 157.61 135.59 50.29°
Positions (direct):
Ca  0.194  0.194  0.000
Ca  0.211  0.500  0.711
Ca  0.789  0.500  0.289
Ca  0.806  0.806  0.000
P  0.052  0.052  0.000
P  0.948  0.948  0.000
I  0.099  0.333  0.766
I  0.433  0.667  0.766
I  0.500  0.000  0.500
I  0.567  0.333  0.234
I  0.901  0.667  0.234

V: 33.91 A^3/atom
magnetization: 0.82 μB per cell
crystal system: orthorhombic
space group: Immm
energy relative to the elements, uncorrected: -1.2669 eV/atom

Compound: Sn2Pd8Pb
Source: Alexandria
Functional: PBE
Structure: optimized geometry

Cell: 7.532 7.532 7.532 Å, 147.86 120.19 69.53°
Positions (direct):
Sn  0.178  0.178  0.000
Sn  0.822  0.822  0.000
Pd  0.069  0.336  0.734
Pd  0.208  0.000  0.208
Pd  0.344  0.844  0.500
Pd  0.398  0.664  0.734
Pd  0.602  0.336  0.266
Pd  0.656  0.156  0.500
Pd  0.792  0.000  0.792
Pd  0.931  0.664  0.266
Pb  0.500  0.500  0.000

energy of formation from the pure elements: -0.396 eV per atom
V: 17.61 A^3/atom
magnetization: 0.00 μB per cell
crystal system: orthorhombic
space group: Immm

Compound: Sc5Al2OsRu2
Source: Alexandria
Functional: PBE
Structure: optimized geometry

Cell: 10.900 10.900 3.248 Å, 90.00 90.00 90.00°
Positions (direct):
Sc  0.000  0.500  0.000
Sc  0.055  0.196  0.000
Sc  0.196  0.945  0.000
Sc  0.304  0.445  0.000
Sc  0.445  0.696  0.000
Sc  0.500  0.000  0.000
Sc  0.555  0.304  0.000
Sc  0.696  0.555  0.000
Sc  0.804  0.055  0.000
Sc  0.945  0.804  0.000
Al  0.187  0.687  0.500
Al  0.313  0.187  0.500
Al  0.687  0.813  0.500
Al  0.813  0.313  0.500
Os  0.000  0.000  0.500
Os  0.500  0.500  0.500
Ru  0.138  0.362  0.500
Ru  0.362  0.862  0.500
Ru  0.638  0.138  0.500
Ru  0.862  0.638  0.500

energy of formation from the pure elements: -0.305 eV per atom
V: 19.30 A^3/atom
magnetization: 0.00 μB per cell
crystal system: tetragonal
space group: P4/mbm

Compound: Nd2AgAuO5
Source: Alexandria
Functional: PBE
Structure: optimized geometry

Cell: 6.858 6.858 5.881 Å, 90.00 90.00 90.00°
Positions (direct):
Nd  0.177  0.323  0.000
Nd  0.323  0.823  0.000
Nd  0.677  0.177  0.000
Nd  0.823  0.677  0.000
Ag  0.000  0.000  0.500
Ag  0.500  0.500  0.500
Au  0.000  0.500  0.500
Au  0.500  0.000  0.500
O  0.000  0.000  0.000
O  0.134  0.634  0.242
O  0.134  0.634  0.758
O  0.366  0.134  0.242
O  0.366  0.134  0.758
O  0.500  0.500  0.000
O  0.634  0.866  0.242
O  0.634  0.866  0.758
O  0.866  0.366  0.242
O  0.866  0.366  0.758

V: 15.37 A^3/atom
magnetization: 0.00 μB per cell
crystal system: tetragonal
space group: P4/mbm
energy relative to the elements, uncorrected: -1.8148 eV/atom

Look up the V of the twelfth one. 15.37 A^3/atom